Record 1
# Cs2In4Sn3Pb (GGA-PBE, optimized geometry)
# space-group type: P-4m2
# calculated formation energy: -0.166 eV per atom
# spin magnetization: 0.000 μB per formula unit
# density of states at the Fermi level: 0.257 states/eV per atom
data_Cs2In4Sn3Pb
_chemical_formula_sum 'Cs2 In4 Sn3 Pb1'
_cell_length_a 5.344
_cell_length_b 5.344
_cell_length_c 12.080
_cell_angle_alpha 90.00
_cell_angle_beta 90.00
_cell_angle_gamma 90.00
_space_group_name_H-M_alt 'P 1'
_space_group_IT_number 1
loop_
_space_group_symop_operation_xyz
'x,y,z'
loop_
_atom_site_label
_atom_site_type_symbol
_atom_site_fract_x
_atom_site_fract_y
_atom_site_fract_z
_atom_site_occupancy
Cs1 Cs 0.000 0.500 0.247 1
Cs2 Cs 0.500 0.000 0.753 1
In1 In 0.000 0.000 0.000 1
In2 In 0.000 0.500 0.630 1
In3 In 0.500 0.000 0.370 1
In4 In 0.500 0.500 0.000 1
Sn1 Sn 0.000 0.500 0.875 1
Sn2 Sn 0.500 0.000 0.125 1
Sn3 Sn 0.500 0.500 0.500 1
Pb1 Pb 0.000 0.000 0.500 1

Record 2
# Li4Y2Cl9 (GGA-PBE, optimized geometry)
# space-group type: P-3c1
# energy relative to the elements, uncorrected: -186.7 kJ/mol of atoms
# spin magnetization: 1.000 μB per formula unit
data_Li4Y2Cl9
_chemical_formula_sum 'Li8 Y4 Cl18'
_cell_length_a 6.642
_cell_length_b 6.642
_cell_length_c 17.879
_cell_angle_alpha 90.00
_cell_angle_beta 90.00
_cell_angle_gamma 120.00
_space_group_name_H-M_alt 'P 1'
_space_group_IT_number 1
loop_
_space_group_symop_operation_xyz
'x,y,z'
loop_
_atom_site_label
_atom_site_type_symbol
_atom_site_fract_x
_atom_site_fract_y
_atom_site_fract_z
_atom_site_occupancy
Li1 Li 0.333 0.667 0.168 1
Li2 Li 0.333 0.667 0.484 1
Li3 Li 0.333 0.667 0.668 1
Li4 Li 0.333 0.667 0.984 1
Li5 Li 0.667 0.333 0.016 1
Li6 Li 0.667 0.333 0.332 1
Li7 Li 0.667 0.333 0.516 1
Li8 Li 0.667 0.333 0.832 1
Y1 Y 0.000 0.000 0.156 1
Y2 Y 0.000 0.000 0.344 1
Y3 Y 0.000 0.000 0.656 1
Y4 Y 0.000 0.000 0.844 1
Cl1 Cl 0.000 0.329 0.250 1
Cl2 Cl 0.000 0.671 0.750 1
Cl3 Cl 0.021 0.362 0.583 1
Cl4 Cl 0.021 0.660 0.083 1
Cl5 Cl 0.329 0.000 0.250 1
Cl6 Cl 0.329 0.329 0.750 1
Cl7 Cl 0.340 0.362 0.083 1
Cl8 Cl 0.340 0.979 0.583 1
Cl9 Cl 0.362 0.021 0.917 1
Cl10 Cl 0.362 0.340 0.417 1
Cl11 Cl 0.638 0.660 0.583 1
Cl12 Cl 0.638 0.979 0.083 1
Cl13 Cl 0.660 0.021 0.417 1
Cl14 Cl 0.660 0.638 0.917 1
Cl15 Cl 0.671 0.000 0.750 1
Cl16 Cl 0.671 0.671 0.250 1
Cl17 Cl 0.979 0.340 0.917 1
Cl18 Cl 0.979 0.638 0.417 1

Record 3
# Ca2ScRe (GGA-PBE, optimized geometry)
# space-group type: Immm
# calculated formation energy: 0.392 eV per atom
# spin magnetization: 0.002 μB per formula unit
# energy above the lowest structure with this stoichiometry: 120.6 meV/atom
# density of states at the Fermi level: 1.094 states/eV per atom
data_Ca2ScRe
_chemical_formula_sum 'Ca2 Sc1 Re1'
_cell_length_a 8.800
_cell_length_b 8.800
_cell_length_c 8.800
_cell_angle_alpha 158.93
_cell_angle_beta 151.16
_cell_angle_gamma 35.99
_space_group_name_H-M_alt 'P 1'
_space_group_IT_number 1
loop_
_space_group_symop_operation_xyz
'x,y,z'
loop_
_atom_site_label
_atom_site_type_symbol
_atom_site_fract_x
_atom_site_fract_y
_atom_site_fract_z
_atom_site_occupancy
Ca1 Ca 0.158 0.158 0.000 1
Ca2 Ca 0.842 0.842 0.000 1
Sc1 Sc 0.500 0.000 0.500 1
Re1 Re 0.000 0.500 0.500 1

Record 4
# LiTa2Ga2 (GGA-PBE, optimized geometry)
# space-group type: P4/mbm
# calculated formation energy: 0.025 eV per atom
# spin magnetization: 0.000 μB per formula unit
# energy above the lowest structure with this stoichiometry: 0.0 meV/atom
# density of states at the Fermi level: 0.406 states/eV per atom
data_LiTa2Ga2
_chemical_formula_sum 'Li2 Ta4 Ga4'
_cell_length_a 6.464
_cell_length_b 6.464
_cell_length_c 3.885
_cell_angle_alpha 90.00
_cell_angle_beta 90.00
_cell_angle_gamma 90.00
_space_group_name_H-M_alt 'P 1'
_space_group_IT_number 1
loop_
_space_group_symop_operation_xyz
'x,y,z'
loop_
_atom_site_label
_atom_site_type_symbol
_atom_site_fract_x
_atom_site_fract_y
_atom_site_fract_z
_atom_site_occupancy
Li1 Li 0.000 0.000 0.000 1
Li2 Li 0.500 0.500 0.000 1
Ta1 Ta 0.173 0.327 0.500 1
Ta2 Ta 0.327 0.827 0.500 1
Ta3 Ta 0.673 0.173 0.500 1
Ta4 Ta 0.827 0.673 0.500 1
Ga1 Ga 0.134 0.634 0.000 1
Ga2 Ga 0.366 0.134 0.000 1
Ga3 Ga 0.634 0.866 0.000 1
Ga4 Ga 0.866 0.366 0.000 1

Record 5
# ScIn2Ru (GGA-PBE, optimized geometry)
# space-group type: C2/m
# calculated formation energy: -0.076 eV per atom
# spin magnetization: 0.000 μB per formula unit
# density of states at the Fermi level: 0.711 states/eV per atom
data_ScIn2Ru
_chemical_formula_sum 'Sc1 In2 Ru1'
_cell_length_a 4.985
_cell_length_b 4.985
_cell_length_c 3.293
_cell_angle_alpha 90.09
_cell_angle_beta 90.09
_cell_angle_gamma 108.34
_space_group_name_H-M_alt 'P 1'
_space_group_IT_number 1
loop_
_space_group_symop_operation_xyz
'x,y,z'
loop_
_atom_site_label
_atom_site_type_symbol
_atom_site_fract_x
_atom_site_fract_y
_atom_site_fract_z
_atom_site_occupancy
Sc1 Sc 0.000 0.000 0.000 1
In1 In 0.000 0.500 0.500 1
In2 In 0.500 0.000 0.500 1
Ru1 Ru 0.500 0.500 0.000 1

Record 6
# YZr2Np (GGA-PBE, optimized geometry)
# space-group type: R-3m
# calculated formation energy: 0.295 eV per atom
# spin magnetization: 3.772 μB per formula unit
# density of states at the Fermi level: 2.306 states/eV per atom
data_YZr2Np
_chemical_formula_sum 'Y1 Zr2 Np1'
_cell_length_a 10.925
_cell_length_b 10.925
_cell_length_c 10.925
_cell_angle_alpha 17.28
_cell_angle_beta 17.28
_cell_angle_gamma 17.28
_space_group_name_H-M_alt 'P 1'
_space_group_IT_number 1
loop_
_space_group_symop_operation_xyz
'x,y,z'
loop_
_atom_site_label
_atom_site_type_symbol
_atom_site_fract_x
_atom_site_fract_y
_atom_site_fract_z
_atom_site_occupancy
Y1 Y 0.000 0.000 0.000 1
Zr1 Zr 0.246 0.246 0.246 1
Zr2 Zr 0.754 0.754 0.754 1
Np1 Np 0.500 0.500 0.500 1

Record 7
# CaO (GGA-PBE, optimized geometry)
# space-group type: Pm-3n
# energy relative to the elements, uncorrected: -266.3 kJ/mol of atoms
# spin magnetization: 0.028 μB per formula unit
# density of states at the Fermi level: 0.000 states/eV per atom
data_CaO
_chemical_formula_sum 'Ca6 O6'
_cell_length_a 6.427
_cell_length_b 6.427
_cell_length_c 6.427
_cell_angle_alpha 90.00
_cell_angle_beta 90.00
_cell_angle_gamma 90.00
_space_group_name_H-M_alt 'P 1'
_space_group_IT_number 1
loop_
_space_group_symop_operation_xyz
'x,y,z'
loop_
_atom_site_label
_atom_site_type_symbol
_atom_site_fract_x
_atom_site_fract_y
_atom_site_fract_z
_atom_site_occupancy
Ca1 Ca 0.000 0.250 0.500 1
Ca2 Ca 0.000 0.750 0.500 1
Ca3 Ca 0.250 0.500 0.000 1
Ca4 Ca 0.500 0.000 0.250 1
Ca5 Ca 0.500 0.000 0.750 1
Ca6 Ca 0.750 0.500 0.000 1
O1 O 0.000 0.500 0.250 1
O2 O 0.000 0.500 0.750 1
O3 O 0.250 0.000 0.500 1
O4 O 0.500 0.250 0.000 1
O5 O 0.500 0.750 0.000 1
O6 O 0.750 0.000 0.500 1

Record 8
# Na2Ga2SnPd5 (GGA-PBE, optimized geometry)
# space-group type: P4/mbm
# calculated formation energy: -0.496 eV per atom
# spin magnetization: 0.000 μB per formula unit
# density of states at the Fermi level: 0.208 states/eV per atom
data_Na2Ga2SnPd5
_chemical_formula_sum 'Na4 Ga4 Sn2 Pd10'
_cell_length_a 9.899
_cell_length_b 9.899
_cell_length_c 3.625
_cell_angle_alpha 90.00
_cell_angle_beta 90.00
_cell_angle_gamma 90.00
_space_group_name_H-M_alt 'P 1'
_space_group_IT_number 1
loop_
_space_group_symop_operation_xyz
'x,y,z'
loop_
_atom_site_label
_atom_site_type_symbol
_atom_site_fract_x
_atom_site_fract_y
_atom_site_fract_z
_atom_site_occupancy
Na1 Na 0.173 0.327 0.000 1
Na2 Na 0.327 0.827 0.000 1
Na3 Na 0.673 0.173 0.000 1
Na4 Na 0.827 0.673 0.000 1
Ga1 Ga 0.126 0.626 0.000 1
Ga2 Ga 0.374 0.126 0.000 1
Ga3 Ga 0.626 0.874 0.000 1
Ga4 Ga 0.874 0.374 0.000 1
Sn1 Sn 0.000 0.000 0.000 1
Sn2 Sn 0.500 0.500 0.000 1
Pd1 Pd 0.000 0.500 0.500 1
Pd2 Pd 0.070 0.795 0.500 1
Pd3 Pd 0.205 0.070 0.500 1
Pd4 Pd 0.295 0.570 0.500 1
Pd5 Pd 0.430 0.295 0.500 1
Pd6 Pd 0.500 0.000 0.500 1
Pd7 Pd 0.570 0.705 0.500 1
Pd8 Pd 0.705 0.430 0.500 1
Pd9 Pd 0.795 0.930 0.500 1
Pd10 Pd 0.930 0.205 0.500 1

Quick rundown of energy, same order as above: -30.0 -66.2 -21.2 -31.5 -21.4 -35.3 -12.5 -43.6 eV per formula unit